(1)
Below is SeI2Br6 after structural relaxation, with properties calculated at the PBE-GGA level.

Geometry as CIF:
```
data_SeI2Br6
_chemical_formula_sum 'Se4 I8 Br24'
_cell_length_a 15.524
_cell_length_b 14.726
_cell_length_c 8.728
_cell_angle_alpha 90.00
_cell_angle_beta 114.44
_cell_angle_gamma 90.00
_space_group_name_H-M_alt 'C 1 2/c 1'
_space_group_IT_number 15
_space_group_name_Hall '-C 2yc'
loop_
_atom_site_label
_atom_site_type_symbol
_atom_site_fract_x
_atom_site_fract_y
_atom_site_fract_z
_atom_site_occupancy
Se1 Se 0.000 0.190 0.250 1
I1 I 0.165 0.498 0.144 1
Br1 Br 0.039 0.223 0.559 1
Br2 Br 0.132 0.093 0.296 1
Br3 Br 0.161 0.388 0.893 1
```

ΔE_f (raw) ... -0.06 eV per atom



(2)
Below is TlNiW2 after structural relaxation, with properties calculated at the PBE-GGA level.

Geometry as CIF:
```
data_TlNiW2
_chemical_formula_sum 'Tl1 Ni1 W2'
_cell_length_a 2.763
_cell_length_b 3.073
_cell_length_c 7.857
_cell_angle_alpha 90.00
_cell_angle_beta 90.00
_cell_angle_gamma 90.00
_space_group_name_H-M_alt 'P m m 2'
_space_group_IT_number 25
_space_group_name_Hall 'P 2 -2'
loop_
_atom_site_label
_atom_site_type_symbol
_atom_site_fract_x
_atom_site_fract_y
_atom_site_fract_z
_atom_site_occupancy
Tl1 Tl 0.000 0.000 0.000 1
Ni1 Ni 0.500 0.500 0.746 1
W1 W 0.000 0.000 0.543 1
W2 W 0.500 0.500 0.296 1
```

Formation energy from the elements ... 554 meV per atom



(3)
Below is Ca2YPuTe4 after structural relaxation, with properties calculated at the PBE-GGA level.

Geometry as CIF:
```
data_Ca2YPuTe4
_chemical_formula_sum 'Ca2 Y1 Pu1 Te4'
_cell_length_a 7.685
_cell_length_b 4.435
_cell_length_c 7.781
_cell_angle_alpha 90.00
_cell_angle_beta 109.21
_cell_angle_gamma 90.00
_space_group_name_H-M_alt 'P 1 2/m 1'
_space_group_IT_number 10
_space_group_name_Hall '-P 2y'
loop_
_atom_site_label
_atom_site_type_symbol
_atom_site_fract_x
_atom_site_fract_y
_atom_site_fract_z
_atom_site_occupancy
Ca1 Ca 0.000 0.000 0.000 1
Ca2 Ca 0.500 0.500 0.000 1
Y1 Y 0.000 0.500 0.500 1
Pu1 Pu 0.500 0.000 0.500 1
Te1 Te 0.245 0.000 0.747 1
Te2 Te 0.247 0.500 0.252 1
```

ΔE_f (raw) ... -1.40 eV per atom



(4)
Below is VPd3Cl9 after structural relaxation, with properties calculated at the PBE-GGA level.

Geometry as CIF:
```
data_VPd3Cl9
_chemical_formula_sum 'V4 Pd12 Cl36'
_cell_length_a 19.964
_cell_length_b 7.066
_cell_length_c 13.601
_cell_angle_alpha 90.00
_cell_angle_beta 127.70
_cell_angle_gamma 90.00
_space_group_name_H-M_alt 'C 1 c 1'
_space_group_IT_number 9
_space_group_name_Hall 'C -2yc'
loop_
_atom_site_label
_atom_site_type_symbol
_atom_site_fract_x
_atom_site_fract_y
_atom_site_fract_z
_atom_site_occupancy
V1 V 0.000 0.221 0.000 1
Pd1 Pd 0.198 0.056 0.830 1
Pd2 Pd 0.317 0.047 0.145 1
Pd3 Pd 0.330 0.325 0.875 1
Cl1 Cl 0.057 0.313 0.912 1
Cl2 Cl 0.144 0.180 0.181 1
Cl3 Cl 0.186 0.284 0.699 1
Cl4 Cl 0.232 0.165 0.479 1
Cl5 Cl 0.267 0.293 0.989 1
Cl6 Cl 0.367 0.277 0.301 1
Cl7 Cl 0.384 0.213 0.773 1
Cl8 Cl 0.469 0.433 0.039 1
Cl9 Cl 0.473 0.062 0.582 1
```

ΔE_f (raw) ... -0.62 eV per atom



(5)
Below is Sr2P after structural relaxation, with properties calculated at the PBE-GGA level.

Geometry as CIF:
```
data_Sr2P
_chemical_formula_sum 'Sr8 P4'
_cell_length_a 4.465
_cell_length_b 19.301
_cell_length_c 6.083
_cell_angle_alpha 90.00
_cell_angle_beta 90.00
_cell_angle_gamma 90.00
_space_group_name_H-M_alt 'C m c m'
_space_group_IT_number 63
_space_group_name_Hall '-C 2c 2'
loop_
_atom_site_label
_atom_site_type_symbol
_atom_site_fract_x
_atom_site_fract_y
_atom_site_fract_z
_atom_site_occupancy
Sr1 Sr 0.000 0.084 0.250 1
Sr2 Sr 0.000 0.292 0.250 1
P1 P 0.000 0.316 0.750 1
```

Formation energy from the elements ... -813 meV per atom



(6)
Below is ScTa2Re after structural relaxation, with properties calculated at the PBE-GGA level.

Geometry as CIF:
```
data_ScTa2Re
_chemical_formula_sum 'Sc2 Ta4 Re2'
_cell_length_a 5.603
_cell_length_b 9.383
_cell_length_c 2.835
_cell_angle_alpha 90.00
_cell_angle_beta 108.67
_cell_angle_gamma 90.00
_space_group_name_H-M_alt 'C 1 2/m 1'
_space_group_IT_number 12
_space_group_name_Hall '-C 2y'
loop_
_atom_site_label
_atom_site_type_symbol
_atom_site_fract_x
_atom_site_fract_y
_atom_site_fract_z
_atom_site_occupancy
Sc1 Sc 0.000 0.000 0.000 1
Ta1 Ta 0.250 0.250 0.500 1
Re1 Re 0.000 0.500 0.000 1
```

Formation energy from the elements ... 29 meV per atom



The calculation returns the following total moment values, one per record and in order: 0.00 0.00 0.77 0.07 0.00 0.00 μB per atom.